! Ba2InPb | Alexandria via LeMat-Bulk | PBE | relaxed; values from VASP
&SYSTEM
  ibrav = 0, nat = 4, ntyp = 3
/
ATOMIC_SPECIES
Ba 137.33 Ba.upf
In 114.82 In.upf
Pb 207.20 Pb.upf
ATOMIC_POSITIONS crystal
Ba 0.000 0.000 0.932
Ba 0.500 0.500 0.320
In 0.000 0.000 0.551
Pb 0.500 0.500 0.696
CELL_PARAMETERS angstrom
-3.139 -1.283 -2.419
2.727 -1.802 -2.583
-0.599 -8.433 5.251
! E (eV per atom): -2.809
! Total magnetic moment (Bohr magnetons per cell): 0.0
! ΔE to the lowest computed polymorph (eV per formula unit): 1.08
! V (A^3/atom): 43.173
! E_form (eV per formula unit): -0.94



! Sc12AlTl3 | Alexandria via LeMat-Bulk | PBE | relaxed; values from VASP
&SYSTEM
  ibrav = 0, nat = 16, ntyp = 3
/
ATOMIC_SPECIES
Sc 44.96 Sc.upf
Al 26.98 Al.upf
Tl 204.38 Tl.upf
ATOMIC_POSITIONS crystal
Sc 0.500 0.500 0.000
Sc 0.500 0.500 0.247
Sc 0.500 0.500 0.500
Sc 0.500 0.500 0.753
Sc 0.500 0.000 0.120
Sc 0.500 0.000 0.374
Sc 0.500 0.000 0.626
Sc 0.500 0.000 0.880
Sc 0.000 0.500 0.120
Sc 0.000 0.500 0.374
Sc 0.000 0.500 0.626
Sc 0.000 0.500 0.880
Al 0.000 0.000 0.000
Tl 0.000 0.000 0.248
Tl 0.000 0.000 0.500
Tl 0.000 0.000 0.752
CELL_PARAMETERS angstrom
4.502 0.000 0.000
0.000 4.502 0.000
0.000 0.000 17.997
! E (eV per atom): -5.642
! Total magnetic moment (Bohr magnetons per cell): 6.1
! V (A^3/atom): 22.803
! E_form (eV per formula unit): -3.44



! Pr4DyEr10 | Alexandria via LeMat-Bulk | PBE | relaxed; values from VASP
&SYSTEM
  ibrav = 0, nat = 15, ntyp = 3
/
ATOMIC_SPECIES
Pr 140.91 Pr.upf
Dy 162.50 Dy.upf
Er 167.26 Er.upf
ATOMIC_POSITIONS crystal
Pr 0.227 0.999 0.546
Pr 0.773 0.454 0.999
Pr 0.227 0.546 0.001
Pr 0.773 0.001 0.454
Dy 0.000 0.000 0.000
Er 0.250 0.500 0.500
Er 0.705 0.208 0.792
Er 0.087 0.208 0.208
Er 0.502 0.792 0.792
Er 0.705 0.792 0.208
Er 0.295 0.792 0.208
Er 0.750 0.500 0.500
Er 0.295 0.208 0.792
Er 0.498 0.208 0.208
Er 0.913 0.792 0.792
CELL_PARAMETERS angstrom
7.264 0.000 3.280
3.632 7.953 1.640
0.359 0.000 8.889
! E (eV per atom): -4.350
! Total magnetic moment (Bohr magnetons per cell): 0.0
! V (A^3/atom): 33.613
! E_form (eV per formula unit): 4.10



! BAuIO2 | Alexandria via LeMat-Bulk | PBE | relaxed; values from VASP
&SYSTEM
  ibrav = 0, nat = 5, ntyp = 4
/
ATOMIC_SPECIES
I 126.90 I.upf
B 10.81 B.upf
Au 196.97 Au.upf
O 16.00 O.upf
ATOMIC_POSITIONS crystal
I 0.000 0.000 0.500
B 0.500 0.500 0.500
Au 0.000 0.000 0.000
O 0.000 0.500 0.000
O 0.500 0.000 0.000
CELL_PARAMETERS angstrom
3.895 0.000 0.000
0.000 3.895 0.000
0.000 0.000 7.928
! E (eV per atom): -3.215
! Energy relative to the elements, uncorrected (eV per atom): 1.07
! Total magnetic moment (Bohr magnetons per cell): 1.3
! ΔE to the lowest computed polymorph (eV per formula unit): 2.90
! V (A^3/atom): 24.050



! VFe2Ir2 | Alexandria via LeMat-Bulk | PBE | relaxed; values from VASP
&SYSTEM
  ibrav = 0, nat = 10, ntyp = 3
/
ATOMIC_SPECIES
Ir 192.22 Ir.upf
Fe 55.84 Fe.upf
V 50.94 V.upf
ATOMIC_POSITIONS crystal
Ir 0.367 0.867 0.000
Ir 0.867 0.633 0.000
Ir 0.633 0.133 0.000
Ir 0.133 0.367 0.000
Fe 0.166 0.666 0.500
Fe 0.666 0.834 0.500
Fe 0.834 0.334 0.500
Fe 0.334 0.166 0.500
V 0.000 0.000 0.000
V 0.500 0.500 0.000
CELL_PARAMETERS angstrom
-3.019 -1.151 6.361
-1.592 -6.672 -1.963
2.392 -0.859 0.980
! E (eV per atom): -8.691
! Total magnetic moment (Bohr magnetons per cell): 7.4
! ΔE to the lowest computed polymorph (eV per formula unit): 0.35
! V (A^3/atom): 13.864
! E_form (eV per formula unit): 0.31



! PuTePb2 | Alexandria via LeMat-Bulk | PBE | relaxed; values from VASP
&SYSTEM
  ibrav = 0, nat = 4, ntyp = 3
/
ATOMIC_SPECIES
Pb 207.20 Pb.upf
Te 127.60 Te.upf
Pu 244.00 Pu.upf
ATOMIC_POSITIONS crystal
Pb 0.000 0.000 0.500
Pb 0.000 0.500 0.000
Te 0.500 0.500 0.500
Pu 0.500 0.000 0.000
CELL_PARAMETERS angstrom
5.434 0.000 0.000
0.000 4.614 0.000
0.000 0.000 4.614
! E (eV per atom): -6.510
! Energy relative to the elements, uncorrected (eV per atom): -0.29
! Total magnetic moment (Bohr magnetons per cell): 5.6
! V (A^3/atom): 28.916



! TaSi3Ag | Alexandria via LeMat-Bulk | PBE | relaxed; values from VASP
&SYSTEM
  ibrav = 0, nat = 5, ntyp = 3
/
ATOMIC_SPECIES
Si 28.09 Si.upf
Ag 107.87 Ag.upf
Ta 180.95 Ta.upf
ATOMIC_POSITIONS crystal
Si 0.000 0.500 0.000
Si 0.000 0.000 0.500
Si 0.500 0.000 0.000
Ag 0.500 0.500 0.500
Ta 0.000 0.000 0.000
CELL_PARAMETERS angstrom
-3.982 0.672 -2.767
1.339 -3.756 -2.840
-2.513 -3.067 2.871
! E (eV per atom): -5.430
! Energy relative to the elements, uncorrected (eV per atom): 0.76
! Total magnetic moment (Bohr magnetons per cell): 0.0
! ΔE to the lowest computed polymorph (eV per formula unit): 0.00
! V (A^3/atom): 23.464



! YRuPb | Alexandria via LeMat-Bulk | PBE | relaxed; values from VASP
&SYSTEM
  ibrav = 0, nat = 3, ntyp = 3
/
ATOMIC_SPECIES
Pb 207.20 Pb.upf
Ru 101.07 Ru.upf
Y 88.91 Y.upf
ATOMIC_POSITIONS crystal
Pb 0.000 0.000 0.000
Ru 0.500 0.500 0.500
Y 0.250 0.250 0.250
CELL_PARAMETERS angstrom
-1.216 3.038 3.543
-4.327 -0.354 2.101
-0.355 -1.603 4.535
! E (eV per atom): -5.899
! Total magnetic moment (Bohr magnetons per cell): 0.0
! V (A^3/atom): 26.449
! E_form (eV per formula unit): 1.75



! ErThCd2 | Alexandria via LeMat-Bulk | PBE | relaxed; values from VASP
&SYSTEM
  ibrav = 0, nat = 4, ntyp = 3
/
ATOMIC_SPECIES
Cd 112.41 Cd.upf
Th 232.04 Th.upf
Er 167.26 Er.upf
ATOMIC_POSITIONS crystal
Cd 0.746 0.746 0.762
Cd 0.254 0.254 0.238
Th 0.500 0.500 0.500
Er 0.000 0.000 0.000
CELL_PARAMETERS angstrom
-1.104 -1.408 -2.979
-1.315 -3.217 -0.020
-10.499 2.409 0.724
! E (eV per atom): -3.518
! Total magnetic moment (Bohr magnetons per cell): 0.0
! ΔE to the lowest computed polymorph (eV per formula unit): 0.52
! V (A^3/atom): 27.737
! E_form (eV per formula unit): -0.26



! AlB3Pt | Alexandria via LeMat-Bulk | PBE | relaxed; values from VASP
&SYSTEM
  ibrav = 0, nat = 5, ntyp = 3
/
ATOMIC_SPECIES
B 10.81 B.upf
Al 26.98 Al.upf
Pt 195.08 Pt.upf
ATOMIC_POSITIONS crystal
B 0.000 0.500 0.000
B 0.000 0.000 0.500
B 0.500 0.000 0.000
Al 0.500 0.500 0.500
Pt 0.000 0.000 0.000
CELL_PARAMETERS angstrom
4.162 0.000 0.000
0.000 4.162 0.000
0.000 0.000 4.162
! E (eV per atom): -4.785
! Total magnetic moment (Bohr magnetons per cell): 0.0
! ΔE to the lowest computed polymorph (eV per formula unit): 0.00
! V (A^3/atom): 14.417
! E_form (eV per formula unit): 5.89



! AcNdC | Alexandria via LeMat-Bulk | PBE | relaxed; values from VASP
&SYSTEM
  ibrav = 0, nat = 3, ntyp = 3
/
ATOMIC_SPECIES
Ac 227.00 Ac.upf
Nd 144.24 Nd.upf
C 12.01 C.upf
ATOMIC_POSITIONS crystal
Ac 0.945 0.945 0.891
Nd 0.723 0.723 0.446
C 0.331 0.331 0.663
CELL_PARAMETERS angstrom
3.400 0.000 0.000
0.000 3.400 0.000
-1.700 -1.700 6.625
! E (eV per atom): -5.579
! Total magnetic moment (Bohr magnetons per cell): 0.0
! ΔE to the lowest computed polymorph (eV per formula unit): 1.35
! V (A^3/atom): 25.527
! E_form (eV per formula unit): 1.36



! Ba2PtRh2 | Alexandria via LeMat-Bulk | PBE | relaxed; values from VASP
&SYSTEM
  ibrav = 0, nat = 10, ntyp = 3
/
ATOMIC_SPECIES
Rh 102.91 Rh.upf
Ba 137.33 Ba.upf
Pt 195.08 Pt.upf
ATOMIC_POSITIONS crystal
Rh 0.373 0.873 0.000
Rh 0.873 0.627 0.000
Rh 0.627 0.127 0.000
Rh 0.127 0.373 0.000
Ba 0.185 0.685 0.500
Ba 0.685 0.815 0.500
Ba 0.815 0.315 0.500
Ba 0.315 0.185 0.500
Pt 0.000 0.000 0.000
Pt 0.500 0.500 0.000
CELL_PARAMETERS angstrom
7.128 0.000 0.000
0.000 7.128 0.000
0.000 0.000 4.843
! E (eV per atom): -5.091
! Total magnetic moment (Bohr magnetons per cell): 0.0
! V (A^3/atom): 24.607
! E_form (eV per formula unit): -0.87